Entry 1:
V3H3Pt after structural relaxation, computed with PBE.

a b c (Å): 5.0157 5.0157 5.0157
angles (deg): 90.00 90.00 90.00
Positions (direct):
1 V 0.0000 0.2500 0.5000
2 V 0.0000 0.7500 0.5000
3 V 0.2500 0.5000 0.0000
4 V 0.5000 0.0000 0.2500
5 V 0.5000 0.0000 0.7500
6 V 0.7500 0.5000 0.0000
7 H 0.0000 0.5000 0.2500
8 H 0.0000 0.5000 0.7500
9 H 0.2500 0.0000 0.5000
10 H 0.5000 0.2500 0.0000
11 H 0.5000 0.7500 0.0000
12 H 0.7500 0.0000 0.5000
13 Pt 0.0000 0.0000 0.0000
14 Pt 0.5000 0.5000 0.5000

Values from the calculation:
The calculation puts the calculated volume at 126.2 Å³ per cell. The value obtained for the offset from the most stable computed form is 0 meV per atom. As for the total magnetization: 1.6 Bohr magnetons per cell.

---

Entry 2:
V2H2Pt after structural relaxation, computed with PBE.

a b c (Å): 6.0303 6.0303 2.6648
angles (deg): 90.00 90.00 90.00
Positions (direct):
1 V 0.1389 0.3611 0.0000
2 V 0.3611 0.8611 0.0000
3 V 0.6389 0.1389 0.0000
4 V 0.8611 0.6389 0.0000
5 H 0.1127 0.6127 0.5000
6 H 0.3873 0.1127 0.5000
7 H 0.6127 0.8873 0.5000
8 H 0.8873 0.3873 0.5000
9 Pt 0.0000 0.0000 0.5000
10 Pt 0.5000 0.5000 0.5000

Values from the calculation:
The calculation puts the calculated volume at 96.9 Å³ per cell. The value obtained for the offset from the most stable computed form is 141 meV per atom. As for the total magnetization: 0.0 Bohr magnetons per cell.

---

Entry 3:
VH2Pt after structural relaxation, computed with PBE.

a b c (Å): 5.2678 5.2678 5.2678
angles (deg): 90.00 90.00 90.00
Positions (direct):
1 V 0.0000 0.0000 0.0000
2 V 0.0000 0.5000 0.5000
3 V 0.5000 0.0000 0.5000
4 V 0.5000 0.5000 0.0000
5 H 0.2500 0.2500 0.2500
6 H 0.2500 0.2500 0.7500
7 H 0.2500 0.7500 0.2500
8 H 0.2500 0.7500 0.7500
9 H 0.7500 0.2500 0.2500
10 H 0.7500 0.2500 0.7500
11 H 0.7500 0.7500 0.2500
12 H 0.7500 0.7500 0.7500
13 Pt 0.0000 0.0000 0.5000
14 Pt 0.0000 0.5000 0.0000
15 Pt 0.5000 0.0000 0.0000
16 Pt 0.5000 0.5000 0.5000

Values from the calculation:
The calculation puts the calculated volume at 146.2 Å³ per cell. The value obtained for the offset from the most stable computed form is 421 meV per atom. As for the total magnetization: 3.7 Bohr magnetons per cell.

---

Entry 4:
V12H3Pt5 after structural relaxation, computed with PBE.

a b c (Å): 11.5840 11.5840 11.5840
angles (deg): 109.47 109.47 109.47
Positions (direct):
1 V 0.0375 0.6400 0.3688
2 V 0.0375 0.8975 0.6688
3 V 0.1025 0.2712 0.1400
4 V 0.1025 0.3312 0.9625
5 V 0.1312 0.7712 0.6688
6 V 0.1312 0.8600 0.4625
7 V 0.1400 0.1025 0.2712
8 V 0.1400 0.5375 0.8688
9 V 0.1688 0.2712 0.6312
10 V 0.1688 0.3975 0.5375
11 V 0.2288 0.3312 0.8688
12 V 0.2288 0.3975 0.3600
13 V 0.2712 0.1400 0.1025
14 V 0.2712 0.6312 0.1688
15 V 0.3312 0.8688 0.2288
16 V 0.3312 0.9625 0.1025
17 V 0.3600 0.2288 0.3975
18 V 0.3600 0.6312 0.9625
19 V 0.3688 0.0375 0.6400
20 V 0.3688 0.8312 0.7288
21 V 0.3975 0.3600 0.2288
22 V 0.3975 0.5375 0.1688
23 V 0.4625 0.1312 0.8600
24 V 0.4625 0.8312 0.6025
25 V 0.5375 0.1688 0.3975
26 V 0.5375 0.8688 0.1400
27 V 0.6025 0.4625 0.8312
28 V 0.6025 0.6400 0.7712
29 V 0.6312 0.1688 0.2712
30 V 0.6312 0.9625 0.3600
31 V 0.6400 0.3688 0.0375
32 V 0.6400 0.7712 0.6025
33 V 0.6688 0.0375 0.8975
34 V 0.6688 0.1312 0.7712
35 V 0.7288 0.3688 0.8312
36 V 0.7288 0.8600 0.8975
37 V 0.7712 0.6025 0.6400
38 V 0.7712 0.6688 0.1312
39 V 0.8312 0.6025 0.4625
40 V 0.8312 0.7288 0.3688
41 V 0.8600 0.4625 0.1312
42 V 0.8600 0.8975 0.7288
43 V 0.8688 0.1400 0.5375
44 V 0.8688 0.2288 0.3312
45 V 0.8975 0.6688 0.0375
46 V 0.8975 0.7288 0.8600
47 V 0.9625 0.1025 0.3312
48 V 0.9625 0.3600 0.6312
49 H 0.1250 0.2500 0.3750
50 H 0.1250 0.3750 0.7500
51 H 0.2500 0.3750 0.1250
52 H 0.2500 0.8750 0.6250
53 H 0.3750 0.1250 0.2500
54 H 0.3750 0.7500 0.1250
55 H 0.6250 0.2500 0.8750
56 H 0.6250 0.8750 0.7500
57 H 0.7500 0.1250 0.3750
58 H 0.7500 0.6250 0.8750
59 H 0.8750 0.6250 0.2500
60 H 0.8750 0.7500 0.6250
61 Pt 0.0000 0.0000 0.0000
62 Pt 0.0000 0.0000 0.5000
63 Pt 0.0000 0.5000 0.0000
64 Pt 0.0000 0.5000 0.5000
65 Pt 0.1250 0.7500 0.8750
66 Pt 0.1250 0.8750 0.2500
67 Pt 0.2500 0.1250 0.8750
68 Pt 0.2500 0.6250 0.3750
69 Pt 0.3750 0.2500 0.6250
70 Pt 0.3750 0.6250 0.7500
71 Pt 0.5000 0.0000 0.0000
72 Pt 0.5000 0.0000 0.5000
73 Pt 0.5000 0.5000 0.0000
74 Pt 0.5000 0.5000 0.5000
75 Pt 0.6250 0.3750 0.2500
76 Pt 0.6250 0.7500 0.3750
77 Pt 0.7500 0.3750 0.6250
78 Pt 0.7500 0.8750 0.1250
79 Pt 0.8750 0.1250 0.7500
80 Pt 0.8750 0.2500 0.1250

Values from the calculation:
The calculation puts the calculated volume at 1196.6 Å³ per cell. For the total energy, the calculation gives -563.74 eV/cell. As for the total magnetization: 0.0 Bohr magnetons per cell.

---

Entry 5:
V2H2Pt after structural relaxation, computed with PBE.

a b c (Å): 3.3174 3.3174 8.6098
angles (deg): 90.00 90.00 90.00
Positions (direct):
1 V 0.0000 0.0000 0.1667
2 V 0.0000 0.0000 0.8333
3 V 0.5000 0.5000 0.3333
4 V 0.5000 0.5000 0.6667
5 H 0.0000 0.5000 0.2500
6 H 0.0000 0.5000 0.7500
7 H 0.5000 0.0000 0.2500
8 H 0.5000 0.0000 0.7500
9 Pt 0.0000 0.0000 0.5000
10 Pt 0.5000 0.5000 0.0000

Values from the calculation:
The calculation puts the calculated volume at 94.7 Å³ per cell. The value obtained for the offset from the most stable computed form is 0 meV per atom. As for the total magnetization: 0.0 Bohr magnetons per cell.

---

Entry 6:
V4H2Pt after structural relaxation, computed with PBE.

a b c (Å): 4.6906 4.6906 9.5534
angles (deg): 90.00 90.00 90.00
Positions (direct):
1 V 0.0000 0.0000 0.2387
2 V 0.0000 0.0000 0.7613
3 V 0.0000 0.5000 0.0000
4 V 0.0000 0.5000 0.5000
5 V 0.5000 0.0000 0.0000
6 V 0.5000 0.0000 0.5000
7 V 0.5000 0.5000 0.2613
8 V 0.5000 0.5000 0.7387
9 H 0.0000 0.0000 0.0548
10 H 0.0000 0.0000 0.9452
11 H 0.5000 0.5000 0.4452
12 H 0.5000 0.5000 0.5548
13 Pt 0.0000 0.0000 0.5000
14 Pt 0.5000 0.5000 0.0000

Values from the calculation:
The calculation puts the calculated volume at 210.2 Å³ per cell. For the total energy, the calculation gives -86.49 eV/cell. As for the total magnetization: 3.5 Bohr magnetons per cell.

---

Entry 7:
VH2Pt2 after structural relaxation, computed with PBE.

a b c (Å): 3.5144 3.5144 8.4967
angles (deg): 90.00 90.00 90.00
Positions (direct):
1 V 0.0000 0.0000 0.0000
2 V 0.5000 0.5000 0.5000
3 H 0.0000 0.5000 0.2500
4 H 0.0000 0.5000 0.7500
5 H 0.5000 0.0000 0.2500
6 H 0.5000 0.0000 0.7500
7 Pt 0.0000 0.0000 0.3422
8 Pt 0.0000 0.0000 0.6578
9 Pt 0.5000 0.5000 0.1578
10 Pt 0.5000 0.5000 0.8422

Values from the calculation:
The calculation puts the calculated volume at 104.9 Å³ per cell. The value obtained for the offset from the most stable computed form is 0 meV per atom. As for the total magnetization: 3.0 Bohr magnetons per cell.

---

Entry 8:
VH2Pt after structural relaxation, computed with PBE.

a b c (Å): 4.1694 4.1694 8.2796
angles (deg): 90.00 90.00 90.00
Positions (direct):
1 V 0.0000 0.0000 0.0000
2 V 0.0000 0.5000 0.2500
3 V 0.5000 0.0000 0.7500
4 V 0.5000 0.5000 0.5000
5 H 0.2338 0.2500 0.1250
6 H 0.2500 0.7338 0.3750
7 H 0.2500 0.7662 0.8750
8 H 0.2662 0.2500 0.6250
9 H 0.7338 0.7500 0.6250
10 H 0.7500 0.2338 0.8750
11 H 0.7500 0.2662 0.3750
12 H 0.7662 0.7500 0.1250
13 Pt 0.0000 0.0000 0.5000
14 Pt 0.0000 0.5000 0.7500
15 Pt 0.5000 0.0000 0.2500
16 Pt 0.5000 0.5000 0.0000

Values from the calculation:
The calculation puts the calculated volume at 143.9 Å³ per cell. The value obtained for the offset from the most stable computed form is 0 meV per atom. As for the total magnetization: 0.0 Bohr magnetons per cell.

---

Entry 9:
VH2Pt2 after structural relaxation, computed with PBE.

a b c (Å): 6.2432 6.2432 2.7943
angles (deg): 90.00 90.00 90.00
Positions (direct):
1 V 0.0000 0.0000 0.0000
2 V 0.5000 0.5000 0.0000
3 H 0.2187 0.2813 0.0000
4 H 0.2813 0.7813 0.0000
5 H 0.7187 0.2187 0.0000
6 H 0.7813 0.7187 0.0000
7 Pt 0.1577 0.6577 0.5000
8 Pt 0.3423 0.1577 0.5000
9 Pt 0.6577 0.8423 0.5000
10 Pt 0.8423 0.3423 0.5000

Values from the calculation:
The calculation puts the calculated volume at 108.9 Å³ per cell. The value obtained for the offset from the most stable computed form is 54 meV per atom. As for the total magnetization: 3.4 Bohr magnetons per cell.

---

Entry 10:
V3H3Pt after structural relaxation, computed with PBE.

a b c (Å): 6.6308 6.6308 6.6308
angles (deg): 48.66 48.66 48.66
Positions (direct):
1 V 0.0201 0.2208 0.6095
2 V 0.2208 0.6095 0.0201
3 V 0.3905 0.9799 0.7792
4 V 0.6095 0.0201 0.2208
5 V 0.7792 0.3905 0.9799
6 V 0.9799 0.7792 0.3905
7 H 0.1208 0.3821 0.6505
8 H 0.3495 0.8792 0.6179
9 H 0.3821 0.6505 0.1208
10 H 0.6179 0.3495 0.8792
11 H 0.6505 0.1208 0.3821
12 H 0.8792 0.6179 0.3495
13 Pt 0.1611 0.1611 0.1611
14 Pt 0.8389 0.8389 0.8389

Values from the calculation:
The calculation puts the calculated volume at 150.8 Å³ per cell. The value obtained for the offset from the most stable computed form is 267 meV per atom. As for the total magnetization: 0.0 Bohr magnetons per cell.

---

Entry 11:
VH2Pt after structural relaxation, computed with PBE.

a b c (Å): 3.0214 3.0214 14.5165
angles (deg): 90.00 90.00 120.00
Positions (direct):
1 V 0.0000 0.0000 0.0000
2 V 0.3333 0.6667 0.6667
3 V 0.6667 0.3333 0.3333
4 H 0.0000 0.0000 0.1227
5 H 0.0000 0.0000 0.8773
6 H 0.3333 0.6667 0.5440
7 H 0.3333 0.6667 0.7893
8 H 0.6667 0.3333 0.2107
9 H 0.6667 0.3333 0.4560
10 Pt 0.0000 0.0000 0.5000
11 Pt 0.3333 0.6667 0.1667
12 Pt 0.6667 0.3333 0.8333

Values from the calculation:
The calculation puts the calculated volume at 114.8 Å³ per cell. The value obtained for the offset from the most stable computed form is 340 meV per atom. As for the total magnetization: 2.4 Bohr magnetons per cell.

---

Entry 12:
V2HPt2 after structural relaxation, computed with PBE.

a b c (Å): 9.6657 9.6657 9.6657
angles (deg): 157.79 157.79 31.61
Positions (direct):
1 V 0.0635 0.3135 0.7500
2 V 0.3135 0.0635 0.2500
3 V 0.6865 0.9365 0.7500
4 V 0.9365 0.6865 0.2500
5 H 0.1250 0.8750 0.2500
6 H 0.8750 0.1250 0.7500
7 Pt 0.1988 0.4488 0.7500
8 Pt 0.4488 0.1988 0.2500
9 Pt 0.5512 0.8012 0.7500
10 Pt 0.8012 0.5512 0.2500

Values from the calculation:
The calculation puts the calculated volume at 128.9 Å³ per cell. For the total energy, the calculation gives -68.06 eV/cell. As for the total magnetization: 3.1 Bohr magnetons per cell.